Computed, not measured: a relaxed structure of NdTmLuMg at the GGA-PBE level of DFT.

Cell lengths 7.7719, 7.7719, 7.7719 Å; angles 90.00, 90.00, 90.00 degrees
With the nearest neighbours (Å) after each atom.
Space group F-43m (No. 216)
One atom of each set of equivalent atoms:
Nd1 0.0000 0.0000 0.0000 (multiplicity 4)  4 Mg 3.37, 4 Lu 3.37
Tm1 0.0000 0.0000 0.5000 (multiplicity 4)  4 Mg 3.37, 4 Lu 3.37
Lu1 0.2500 0.2500 0.7500 (multiplicity 4)  4 Nd 3.37, 4 Tm 3.37
Mg1 0.2500 0.2500 0.2500 (multiplicity 4)  4 Nd 3.37, 4 Tm 3.37

Values from the calculation:
DFT total energy   -0.2802 Ry/atom
Energy of formation from the pure elements   0.107 eV/f.u.